a:
Compound: PmGaNO
Source: the Open Quantum Materials Database
Functional: PBE
Structure: optimized geometry

The structure in POSCAR format:
```
PmGaNO
1.0
3.856 0.000 0.000
0.000 5.310 0.000
0.000 0.000 5.584
Pm Ga N O
2 2 2 2
direct
0.000 0.224 0.000
0.000 0.776 0.500
0.500 0.250 0.525
0.500 0.750 0.025
0.500 0.056 0.232
0.500 0.944 0.732
0.000 0.347 0.575
0.000 0.653 0.075
```

b:
Compound: PmGaNO
Source: the Open Quantum Materials Database
Functional: PBE
Structure: optimized geometry

The structure in POSCAR format:
```
PmGaNO
1.0
5.848 0.000 0.000
0.000 7.753 0.000
0.000 0.000 5.198
Pm Ga N O
4 4 4 4
direct
0.048 0.136 0.000
0.452 0.136 0.500
0.548 0.864 0.000
0.952 0.864 0.500
0.086 0.591 0.950
0.414 0.591 0.450
0.586 0.409 0.950
0.914 0.409 0.450
0.109 0.586 0.583
0.391 0.586 0.083
0.609 0.414 0.583
0.891 0.414 0.083
0.056 0.176 0.508
0.444 0.176 0.008
0.556 0.824 0.508
0.944 0.824 0.008
```

Which one sits at the bottom of the stability order? a does.

a:
Compound: PmGaNO
Source: the Open Quantum Materials Database
Functional: PBE
Structure: optimized geometry

The structure in POSCAR format:
```
PmGaNO
1.0
4.120 0.000 0.000
0.000 5.452 0.000
0.000 0.000 5.177
Pm Ga N O
2 2 2 2
direct
0.000 0.233 0.000
0.000 0.767 0.500
0.500 0.259 0.503
0.500 0.741 0.003
0.000 0.198 0.483
0.000 0.802 0.983
0.500 0.399 0.860
0.500 0.601 0.360
```

b:
Compound: PmGaNO
Source: the Open Quantum Materials Database
Functional: PBE
Structure: optimized geometry

The structure in POSCAR format:
```
PmGaNO
1.0
3.971 0.000 0.000
0.000 3.971 0.000
0.000 0.000 7.634
Pm Ga N O
2 2 2 2
direct
0.250 0.250 0.152
0.750 0.750 0.848
0.250 0.750 0.500
0.750 0.250 0.500
0.250 0.250 0.616
0.750 0.750 0.384
0.250 0.750 0.000
0.750 0.250 0.000
```

Which one sits at the bottom of the stability order? b does.

a:
Compound: PrGaNO
Source: the Open Quantum Materials Database
Functional: PBE
Structure: optimized geometry

The structure in POSCAR format:
```
PrGaNO
1.0
3.863 0.000 0.000
0.000 5.374 0.000
0.000 0.000 5.668
Pr Ga N O
2 2 2 2
direct
0.000 0.221 0.000
0.000 0.779 0.500
0.500 0.249 0.518
0.500 0.751 0.018
0.500 0.038 0.241
0.500 0.962 0.741
0.000 0.344 0.564
0.000 0.656 0.064
```

b:
Compound: PrGaNO
Source: the Open Quantum Materials Database
Functional: PBE
Structure: optimized geometry

The structure in POSCAR format:
```
PrGaNO
1.0
4.037 0.000 0.000
0.000 5.380 0.000
0.000 0.000 5.339
Pr Ga N O
2 2 2 2
direct
0.000 0.248 0.000
0.000 0.752 0.500
0.500 0.261 0.494
0.500 0.739 0.994
0.000 0.309 0.476
0.000 0.691 0.976
0.500 0.066 0.808
0.500 0.934 0.308
```

Which one sits at the bottom of the stability order? a does.

a:
Compound: GaPtNO
Source: the Open Quantum Materials Database
Functional: PBE
Structure: optimized geometry

The structure in POSCAR format:
```
GaPtNO
1.0
2.940 0.000 0.000
0.000 5.777 0.000
0.000 0.000 5.538
Ga Pt N O
2 2 2 2
direct
0.000 0.041 0.000
0.000 0.959 0.500
0.500 0.475 0.295
0.500 0.525 0.795
0.000 0.234 0.290
0.000 0.766 0.790
0.500 0.157 0.796
0.500 0.843 0.296
```

b:
Compound: GaPtNO
Source: the Open Quantum Materials Database
Functional: PBE
Structure: optimized geometry

The structure in POSCAR format:
```
GaPtNO
1.0
3.210 0.000 0.000
0.000 6.433 0.000
0.000 0.000 4.936
Ga Pt N O
2 2 2 2
direct
0.000 0.145 0.000
0.000 0.855 0.500
0.500 0.420 0.524
0.500 0.580 0.024
0.500 0.285 0.890
0.500 0.715 0.390
0.000 0.130 0.378
0.000 0.870 0.878
```

c:
Compound: GaPtNO
Source: the Open Quantum Materials Database
Functional: PBE
Structure: optimized geometry

The structure in POSCAR format:
```
GaPtNO
1.0
3.988 0.000 0.000
0.000 3.988 0.000
0.000 0.000 6.220
Ga Pt N O
2 2 2 2
direct
0.250 0.250 0.108
0.750 0.750 0.892
0.250 0.750 0.500
0.750 0.250 0.500
0.250 0.250 0.608
0.750 0.750 0.392
0.250 0.750 0.000
0.750 0.250 0.000
```

d:
Compound: GaPtNO
Source: the Open Quantum Materials Database
Functional: PBE
Structure: optimized geometry

The structure in POSCAR format:
```
GaPtNO
1.0
3.962 0.000 0.000
0.000 3.962 0.000
0.000 0.000 6.798
Ga Pt N O
2 2 2 2
direct
0.250 0.750 0.000
0.750 0.250 0.000
0.250 0.250 0.419
0.750 0.750 0.581
0.250 0.250 0.930
0.750 0.750 0.070
0.250 0.750 0.500
0.750 0.250 0.500
```

Which one sits at the bottom of the stability order? d does.

a:
Compound: SmGaNO
Source: the Open Quantum Materials Database
Functional: PBE
Structure: optimized geometry

The structure in POSCAR format:
```
SmGaNO
1.0
5.857 0.000 0.000
0.000 7.703 0.000
0.000 0.000 5.174
Sm Ga N O
4 4 4 4
direct
0.049 0.135 0.000
0.451 0.135 0.500
0.549 0.865 0.000
0.951 0.865 0.500
0.087 0.592 0.949
0.413 0.592 0.449
0.587 0.408 0.949
0.913 0.408 0.449
0.107 0.587 0.580
0.393 0.587 0.080
0.607 0.413 0.580
0.893 0.413 0.080
0.058 0.175 0.509
0.442 0.175 0.009
0.558 0.825 0.509
0.942 0.825 0.009
```

b:
Compound: SmGaNO
Source: the Open Quantum Materials Database
Functional: PBE
Structure: optimized geometry

The structure in POSCAR format:
```
SmGaNO
1.0
3.954 0.000 0.000
0.000 3.954 0.000
0.000 0.000 7.644
Sm Ga N O
2 2 2 2
direct
0.250 0.250 0.151
0.750 0.750 0.849
0.250 0.750 0.500
0.750 0.250 0.500
0.250 0.250 0.619
0.750 0.750 0.381
0.250 0.750 0.000
0.750 0.250 0.000
```

Which one sits at the bottom of the stability order? b does.

a:
Compound: SmGaNO
Source: the Open Quantum Materials Database
Functional: PBE
Structure: optimized geometry

The structure in POSCAR format:
```
SmGaNO
1.0
4.878 0.000 0.000
0.000 4.878 0.000
0.000 0.000 4.778
Sm Ga N O
2 2 2 2
direct
0.250 0.750 0.000
0.750 0.250 0.000
0.250 0.250 0.484
0.750 0.750 0.516
0.250 0.250 0.071
0.750 0.750 0.929
0.250 0.750 0.500
0.750 0.250 0.500
```

b:
Compound: SmGaNO
Source: the Open Quantum Materials Database
Functional: PBE
Structure: optimized geometry

The structure in POSCAR format:
```
SmGaNO
1.0
4.144 0.000 0.000
0.000 5.419 0.000
0.000 0.000 5.127
Sm Ga N O
2 2 2 2
direct
0.000 0.231 0.000
0.000 0.769 0.500
0.500 0.261 0.506
0.500 0.739 0.006
0.000 0.201 0.484
0.000 0.799 0.984
0.500 0.391 0.873
0.500 0.609 0.373
```

c:
Compound: SmGaNO
Source: the Open Quantum Materials Database
Functional: PBE
Structure: optimized geometry

The structure in POSCAR format:
```
SmGaNO
1.0
3.835 0.000 0.000
0.000 5.296 0.000
0.000 0.000 5.614
Sm Ga N O
2 2 2 2
direct
0.000 0.223 0.000
0.000 0.777 0.500
0.500 0.252 0.523
0.500 0.748 0.023
0.500 0.056 0.233
0.500 0.944 0.733
0.000 0.350 0.584
0.000 0.650 0.084
```

Which one sits at the bottom of the stability order? a does.